Model i:
A plane-wave DFT calculation with PBE-GGA was carried out for crystalline Tl3In2Bi2 at its relaxed geometry.

Values from the calculation:
* total magnetization: 0.000 μB/atom
* DOS(E_F): 1.83 states/eV/f.u.

CIF file:
```
data_Tl3In2Bi2
_chemical_formula_sum 'Tl6 In4 Bi4'
_cell_length_a 3.5444
_cell_length_b 29.7135
_cell_length_c 4.2329
_cell_angle_alpha 90.00
_cell_angle_beta 90.00
_cell_angle_gamma 90.00
_symmetry_space_group_name_H-M 'C m m m'
_symmetry_Int_Tables_number 65
_symmetry_space_group_name_Hall '-C 2 2'
loop_
_atom_site_label
_atom_site_fract_x
_atom_site_fract_y
_atom_site_fract_z
Tl1 0.0000 0.0000 0.0000
Tl2 0.0000 0.4274 0.5000
In1 0.0000 0.2945 0.5000
Bi1 0.0000 0.1441 0.0000
```



Model ii:
A plane-wave DFT calculation with PBE-GGA was carried out for crystalline Tl3In2Bi2 at its relaxed geometry.

Values from the calculation:
* total magnetization: 0.000 μB/atom
* DOS(E_F): 2.47 states/eV/f.u.

CIF file:
```
data_Tl3In2Bi2
_chemical_formula_sum 'Tl6 In4 Bi4'
_cell_length_a 4.6374
_cell_length_b 4.7180
_cell_length_c 21.7714
_cell_angle_alpha 90.00
_cell_angle_beta 90.00
_cell_angle_gamma 90.00
_symmetry_space_group_name_H-M 'I m m m'
_symmetry_Int_Tables_number 71
_symmetry_space_group_name_Hall '-I 2 2'
loop_
_atom_site_label
_atom_site_fract_x
_atom_site_fract_y
_atom_site_fract_z
Tl1 0.0000 0.0000 0.0000
Tl2 0.0000 0.5000 0.1867
In1 0.0000 0.5000 0.3359
Bi1 0.0000 0.0000 0.4276
```



Which one is most stable, and which one is least stable? model i is the most stable of them, while model ii is the least stable.



Model i:
A plane-wave DFT calculation with PBE-GGA was carried out for crystalline TlIn4Bi2 at its relaxed geometry.

Values from the calculation:
* total magnetization: 0.000 μB/atom
* DOS(E_F): 2.84 states/eV/f.u.

CIF file:
```
data_TlIn4Bi2
_chemical_formula_sum 'Tl3 In12 Bi6'
_cell_length_a 5.4174
_cell_length_b 5.4174
_cell_length_c 26.9568
_cell_angle_alpha 90.00
_cell_angle_beta 90.00
_cell_angle_gamma 120.00
_symmetry_space_group_name_H-M 'R -3 m'
_symmetry_Int_Tables_number 166
_symmetry_space_group_name_Hall '-R 3 2"'
loop_
_atom_site_label
_atom_site_fract_x
_atom_site_fract_y
_atom_site_fract_z
Tl1 0.0000 0.0000 0.0000
In1 0.0000 0.0000 0.1294
In2 0.0000 0.0000 0.3809
Bi1 0.0000 0.0000 0.2484
```



Model ii:
A plane-wave DFT calculation with PBE-GGA was carried out for crystalline TlIn4Bi2 at its relaxed geometry.

Values from the calculation:
* total magnetization: 0.000 μB/atom
* DOS(E_F): 3.84 states/eV/f.u.

CIF file:
```
data_TlIn4Bi2
_chemical_formula_sum 'Tl2 In8 Bi4'
_cell_length_a 9.1893
_cell_length_b 9.1893
_cell_length_c 5.3384
_cell_angle_alpha 90.00
_cell_angle_beta 90.00
_cell_angle_gamma 90.00
_symmetry_space_group_name_H-M 'P 42/m n m'
_symmetry_Int_Tables_number 136
_symmetry_space_group_name_Hall '-P 4n 2n'
loop_
_atom_site_label
_atom_site_fract_x
_atom_site_fract_y
_atom_site_fract_z
Tl1 0.0000 0.0000 0.0000
In1 0.1057 0.3627 0.5000
Bi1 0.2047 0.7953 0.5000
```



Which one is most stable, and which one is least stable? model i is the most stable of them, while model ii is the least stable.



Model i:
A plane-wave DFT calculation with PBE-GGA was carried out for crystalline Tl8InBi2 at its relaxed geometry.

Values from the calculation:
* total magnetization: 0.000 μB/atom
* DOS(E_F): 6.02 states/eV/f.u.

CIF file:
```
data_Tl8InBi2
_chemical_formula_sum 'Tl16 In2 Bi4'
_cell_length_a 18.2184
_cell_length_b 5.7702
_cell_length_c 7.4599
_cell_angle_alpha 90.00
_cell_angle_beta 114.11
_cell_angle_gamma 90.00
_symmetry_space_group_name_H-M 'C 1 2/m 1'
_symmetry_Int_Tables_number 12
loop_
_symmetry_equiv_pos_as_xyz
'x,y,z'
'-x,-y,-z'
'-x,y,-z'
'x,-y,z'
'x+1/2,y+1/2,z'
'-x+1/2,-y+1/2,-z'
'-x+1/2,y+1/2,-z'
'x+1/2,-y+1/2,z'
loop_
_atom_site_label
_atom_site_fract_x
_atom_site_fract_y
_atom_site_fract_z
Tl1 0.9998 0.0000 0.2341
Tl2 0.1471 0.5000 0.3763
Tl3 0.1475 0.5000 0.9171
Tl4 0.1736 0.0000 0.6729
In1 0.0000 0.5000 0.5000
Bi1 0.1857 0.0000 0.1860
```



Model ii:
A plane-wave DFT calculation with PBE-GGA was carried out for crystalline Tl8InBi2 at its relaxed geometry.

Values from the calculation:
* total magnetization: 0.000 μB/atom
* DOS(E_F): 4.39 states/eV/f.u.

CIF file:
```
data_Tl8InBi2
_chemical_formula_sum 'Tl16 In2 Bi4'
_cell_length_a 17.0064
_cell_length_b 7.0603
_cell_length_c 6.4288
_cell_angle_alpha 90.00
_cell_angle_beta 110.35
_cell_angle_gamma 90.00
_symmetry_space_group_name_H-M 'C 1 2/m 1'
_symmetry_Int_Tables_number 12
loop_
_symmetry_equiv_pos_as_xyz
'x,y,z'
'-x,-y,-z'
'-x,y,-z'
'x,-y,z'
'x+1/2,y+1/2,z'
'-x+1/2,-y+1/2,-z'
'-x+1/2,y+1/2,-z'
'x+1/2,-y+1/2,z'
loop_
_atom_site_label
_atom_site_fract_x
_atom_site_fract_y
_atom_site_fract_z
Tl1 0.0731 0.2251 0.2434
Tl2 0.1357 0.0000 0.7994
Tl3 0.2349 0.5000 0.5749
In1 0.0000 0.5000 0.5000
Bi1 0.1517 0.5000 0.9689
```



Which one is most stable, and which one is least stable? model i is the most stable of them, while model ii is the least stable.



Model i:
A plane-wave DFT calculation with PBE-GGA was carried out for crystalline TlIn8Bi2 at its relaxed geometry.

Values from the calculation:
* total magnetization: 0.000 μB/atom
* DOS(E_F): 4.44 states/eV/f.u.

CIF file:
```
data_TlIn8Bi2
_chemical_formula_sum 'Tl2 In16 Bi4'
_cell_length_a 18.6987
_cell_length_b 6.2253
_cell_length_c 5.7386
_cell_angle_alpha 90.00
_cell_angle_beta 99.10
_cell_angle_gamma 90.00
_symmetry_space_group_name_H-M 'C 1 2/m 1'
_symmetry_Int_Tables_number 12
loop_
_symmetry_equiv_pos_as_xyz
'x,y,z'
'-x,-y,-z'
'-x,y,-z'
'x,-y,z'
'x+1/2,y+1/2,z'
'-x+1/2,-y+1/2,-z'
'-x+1/2,y+1/2,-z'
'x+1/2,-y+1/2,z'
loop_
_atom_site_label
_atom_site_fract_x
_atom_site_fract_y
_atom_site_fract_z
Tl1 0.0000 0.0000 0.0000
In1 0.0863 0.5000 0.0182
In2 0.0881 0.2475 0.5336
In3 0.1775 0.0000 0.0650
Bi1 0.2405 0.5000 0.3855
```



Model ii:
A plane-wave DFT calculation with PBE-GGA was carried out for crystalline TlIn8Bi2 at its relaxed geometry.

Values from the calculation:
* total magnetization: 0.000 μB/atom
* DOS(E_F): 4.91 states/eV/f.u.

CIF file:
```
data_TlIn8Bi2
_chemical_formula_sum 'Tl2 In16 Bi4'
_cell_length_a 13.1806
_cell_length_b 9.1650
_cell_length_c 5.8391
_cell_angle_alpha 90.00
_cell_angle_beta 99.13
_cell_angle_gamma 90.00
_symmetry_space_group_name_H-M 'C 1 2/m 1'
_symmetry_Int_Tables_number 12
loop_
_symmetry_equiv_pos_as_xyz
'x,y,z'
'-x,-y,-z'
'-x,y,-z'
'x,-y,z'
'x+1/2,y+1/2,z'
'-x+1/2,-y+1/2,-z'
'-x+1/2,y+1/2,-z'
'x+1/2,-y+1/2,z'
loop_
_atom_site_label
_atom_site_fract_x
_atom_site_fract_y
_atom_site_fract_z
Tl1 0.0000 0.0000 0.0000
In1 0.0760 0.2813 0.7698
In2 0.1075 0.5000 0.3170
In3 0.2453 0.5000 0.9233
Bi1 0.1522 0.0000 0.5298
```



Which one is most stable, and which one is least stable? model i is the most stable of them, while model ii is the least stable.



Model i:
A plane-wave DFT calculation with PBE-GGA was carried out for crystalline Tl6InBi2 at its relaxed geometry.

Values from the calculation:
* total magnetization: 0.000 μB/atom
* DOS(E_F): 4.55 states/eV/f.u.

CIF file:
```
data_Tl6InBi2
_chemical_formula_sum 'Tl6 In1 Bi2'
_cell_length_a 3.4765
_cell_length_b 3.4765
_cell_length_c 27.3364
_cell_angle_alpha 90.00
_cell_angle_beta 90.00
_cell_angle_gamma 120.00
_symmetry_space_group_name_H-M 'P -6 m 2'
_symmetry_Int_Tables_number 187
_symmetry_space_group_name_Hall 'P -6 2'
loop_
_atom_site_label
_atom_site_fract_x
_atom_site_fract_y
_atom_site_fract_z
Tl1 0.0000 0.0000 0.0666
Tl2 0.0000 0.0000 0.2842
Tl3 0.3333 0.6667 0.3988
In1 0.0000 0.0000 0.5000
Bi1 0.3333 0.6667 0.1736
```



Model ii:
A plane-wave DFT calculation with PBE-GGA was carried out for crystalline Tl6InBi2 at its relaxed geometry.

Values from the calculation:
* total magnetization: 0.000 μB/atom
* DOS(E_F): 3.45 states/eV/f.u.

CIF file:
```
data_Tl6InBi2
_chemical_formula_sum 'Tl12 In2 Bi4'
_cell_length_a 14.5519
_cell_length_b 5.0758
_cell_length_c 8.0303
_cell_angle_alpha 90.00
_cell_angle_beta 108.01
_cell_angle_gamma 90.00
_symmetry_space_group_name_H-M 'C 1 2/m 1'
_symmetry_Int_Tables_number 12
loop_
_symmetry_equiv_pos_as_xyz
'x,y,z'
'-x,-y,-z'
'-x,y,-z'
'x,-y,z'
'x+1/2,y+1/2,z'
'-x+1/2,-y+1/2,-z'
'-x+1/2,y+1/2,-z'
'x+1/2,-y+1/2,z'
loop_
_atom_site_label
_atom_site_fract_x
_atom_site_fract_y
_atom_site_fract_z
Tl1 0.1096 0.0000 0.1732
Tl2 0.1606 0.5000 0.5037
Tl3 0.2156 0.0000 0.8266
In1 0.0000 0.0000 0.5000
Bi1 0.0548 0.5000 0.8357
```



Which one is most stable, and which one is least stable? model ii is the most stable of them, while model i is the least stable.



Model i:
A plane-wave DFT calculation with PBE-GGA was carried out for crystalline Tm2InBi at its relaxed geometry.

Values from the calculation:
* total magnetization: 0.000 μB/atom
* DOS(E_F): 3.46 states/eV/f.u.

CIF file:
```
data_Tm2InBi
_chemical_formula_sum 'Tm8 In4 Bi4'
_cell_length_a 7.6002
_cell_length_b 7.6002
_cell_length_c 7.6002
_cell_angle_alpha 90.00
_cell_angle_beta 90.00
_cell_angle_gamma 90.00
_symmetry_space_group_name_H-M 'F m -3 m'
_symmetry_Int_Tables_number 225
_symmetry_space_group_name_Hall '-F 4 2 3'
loop_
_atom_site_label
_atom_site_fract_x
_atom_site_fract_y
_atom_site_fract_z
Tm1 0.2500 0.2500 0.2500
In1 0.0000 0.0000 0.0000
Bi1 0.0000 0.0000 0.5000
```



Model ii:
A plane-wave DFT calculation with PBE-GGA was carried out for crystalline Tm2InBi at its relaxed geometry.

Values from the calculation:
* total magnetization: 0.000 μB/atom
* DOS(E_F): 1.62 states/eV/f.u.

CIF file:
```
data_Tm2InBi
_chemical_formula_sum 'Tm6 In3 Bi3'
_cell_length_a 4.1488
_cell_length_b 4.1488
_cell_length_c 24.2578
_cell_angle_alpha 90.00
_cell_angle_beta 90.00
_cell_angle_gamma 120.00
_symmetry_space_group_name_H-M 'R -3 m'
_symmetry_Int_Tables_number 166
_symmetry_space_group_name_Hall '-R 3 2"'
loop_
_atom_site_label
_atom_site_fract_x
_atom_site_fract_y
_atom_site_fract_z
Tm1 0.0000 0.0000 0.2457
In1 0.0000 0.0000 0.0000
Bi1 0.0000 0.0000 0.5000
```



Which one is most stable, and which one is least stable? model ii is the most stable of them, while model i is the least stable.